1.
Entry from Alexandria via LeMat-Bulk: crystalline AcSm4Er4 at its relaxed geometry (PBE-GGA).

Lattice parameters (Å, degrees): 9.3420 9.7090 11.2775 115.37 78.85 137.82
Sites, in units of the cell vectors:
Sm1 0.3203 0.0114 0.0722
Sm2 0.8775 0.9110 0.6326
Sm3 0.6797 0.9886 0.9278
Sm4 0.9971 0.6873 0.7417
Sm5 0.0029 0.3127 0.2583
Sm6 0.7696 0.1320 0.5195
Sm7 0.2304 0.8680 0.4805
Sm8 0.1225 0.0890 0.3674
Er1 0.6637 0.3503 0.4039
Er2 0.3363 0.6497 0.5961
Er3 0.4328 0.7958 0.1819
Er4 0.7927 0.7624 0.0360
Er5 0.8999 0.5334 0.1432
Er6 0.5672 0.2042 0.8181
Er7 0.1001 0.4666 0.8568
Er8 0.2073 0.2376 0.9640
Ac1 0.5448 0.5744 0.2944
Ac2 0.4552 0.4256 0.7056

Values from the calculation:
Electronic total energy, eV for the cell shown: -81.85
E_form, meV per atom: 35
Density of states at the Fermi level, states/eV/cell: 30.3

***

2.
Entry from Alexandria via LeMat-Bulk: crystalline TlOs5 at its relaxed geometry (PBE-GGA).

Lattice parameters (Å, degrees): 5.1932 5.1932 5.1932 60.00 60.00 60.00
Last column: magnetic moment on the atom in μB.
Sites, in units of the cell vectors:
Os1 0.3757 0.8730 0.3757  0.04
Os2 0.8730 0.3757 0.3757  0.04
Os3 0.7500 0.7500 0.7500  0.19
Os4 0.3757 0.3757 0.8730  0.04
Os5 0.3757 0.3757 0.3757  0.04
Tl1 0.0000 0.0000 0.0000  0.00

Values from the calculation:
Relative energy among the computed polymorphs, eV/atom: 0.6838
Electronic total energy, eV for the cell shown: -51.46
E_form, meV per atom: 1175
Density of states at the Fermi level, states/eV/cell: 10.5

***

3.
Entry from Alexandria via LeMat-Bulk: crystalline TbHo4Ni2 at its relaxed geometry (PBE-GGA).

Lattice parameters (Å, degrees): 6.3674 7.4794 7.8729 112.39 90.00 90.00
Sites, in units of the cell vectors:
Ho1 0.7500 0.7479 0.6546
Ho2 0.7500 0.0265 0.3872
Ho3 0.9955 0.4077 0.7675
Ho4 0.2500 0.9735 0.6128
Ho5 0.0045 0.5923 0.2325
Ho6 0.5045 0.4077 0.7675
Ho7 0.2500 0.2521 0.3454
Ho8 0.4955 0.5923 0.2325
Ni1 0.2500 0.6183 0.5870
Ni2 0.7500 0.7423 0.0056
Ni3 0.2500 0.2577 0.9944
Ni4 0.7500 0.3817 0.4130
Tb1 0.2500 0.8508 0.9739
Tb2 0.7500 0.1492 0.0261

Values from the calculation:
Electronic total energy, eV for the cell shown: -71.24
E_form, meV per atom: -159
Density of states at the Fermi level, states/eV/cell: 18.5

***

4.
Entry from Alexandria via LeMat-Bulk: crystalline La2InGa3Au4 at its relaxed geometry (PBE-GGA).

Lattice parameters (Å, degrees): 4.5418 4.5418 10.7700 90.00 90.00 90.00
Sites, in units of the cell vectors:
Au1 0.5000 0.0000 0.6423
Au2 0.0000 0.0000 0.0000
Au3 0.0000 0.5000 0.3577
Au4 0.5000 0.5000 0.0000
Ga1 0.0000 0.5000 0.1249
Ga2 0.5000 0.0000 0.8751
Ga3 0.0000 0.0000 0.5000
La1 0.0000 0.5000 0.7611
La2 0.5000 0.0000 0.2389
In1 0.5000 0.5000 0.5000

Values from the calculation:
Electronic total energy, eV for the cell shown: -41.38
E_form, meV per atom: -659
Density of states at the Fermi level, states/eV/cell: 5.9

***

5.
Entry from Alexandria via LeMat-Bulk: crystalline Nb3TeI7 at its relaxed geometry (PBE-GGA).

Lattice parameters (Å, degrees): 7.7241 7.7241 7.3487 90.00 90.00 120.00
Sites, in units of the cell vectors:
Te1 0.0000 0.0000 0.2149
Nb1 0.8675 0.7350 0.4985
Nb2 0.2650 0.1325 0.4985
Nb3 0.8675 0.1325 0.4985
I1 0.4988 0.9975 0.2894
I2 0.4988 0.5012 0.2894
I3 0.1676 0.3352 0.7512
I4 0.6667 0.3333 0.6976
I5 0.0025 0.5012 0.2894
I6 0.1676 0.8324 0.7512
I7 0.6648 0.8324 0.7512

Values from the calculation:
Electronic total energy, eV for the cell shown: -50.06
Energy relative to the elements, uncorrected, eV/atom: -0.532
Density of states at the Fermi level, states/eV/cell: 0.2

***

6.
Entry from Alexandria via LeMat-Bulk: crystalline KNa2HgH at its relaxed geometry (PBE-GGA).

Lattice parameters (Å, degrees): 4.9619 4.9619 5.3398 90.00 90.00 90.00
Sites, in units of the cell vectors:
K1 0.0000 0.0000 0.5000
H1 0.0000 0.0000 0.0000
Hg1 0.5000 0.5000 0.5000
Na1 0.5000 0.0000 0.0000
Na2 0.0000 0.5000 0.0000

Values from the calculation:
Electronic total energy, eV for the cell shown: -7.75
Density of states at the Fermi level, states/eV/cell: 3.6